Density functional theory data (GGA-PBE) for NaPrDyIn after structural relaxation.

The size of the total moment comes out at 0.00 μB/f.u. For the total energy, the calculation gives -3.501 eV per atom. The formation enthalpy at 0 K is -0.141 eV/atom.

a b c (Å): 7.769 7.769 7.769
angles (deg): 90.00 90.00 90.00
Space group F-43m (No. 216)
One atom of each set of equivalent atoms:
1 Na 0.000 0.000 0.000 x4
2 Pr 0.250 0.250 0.250 x4
3 Dy 0.250 0.250 0.750 x4
4 In 0.000 0.000 0.500 x4